Compound: Na2TeI
Source: Alexandria
Functional: GGA-PBE
Structure: relaxed

Lattice parameters (Å, degrees): 3.5277 5.8989 5.8989 90.00 90.00 90.00
Closest atoms and distances in Å follow each position.
Positions (direct):
Na (0.0000, 0.5000, 0.0000)  4 Te 3.44, 4 I 3.44, 2 Na 3.53
I (0.5000, 0.0000, 0.0000)  8 Na 3.44, 2 I 3.53
Te (0.5000, 0.5000, 0.5000)  8 Na 3.44, 2 Te 3.53
Na (0.0000, 0.0000, 0.5000)  4 I 3.44, 4 Te 3.44, 2 Na 3.53

Excess energy over the best structure of this formula in the dataset in eV per atom: 0.033
Formation energy (no corrections) in eV per atom: -0.777
Calculated volume in Å³/f.u.: 122.8
Space group: P4/mmm (123)
Total moment in μB per cell: 0.000



Compound: Na2TeI2
Source: Alexandria
Functional: GGA-PBE
Structure: relaxed

Lattice parameters (Å, degrees): 9.0914 9.0914 4.1965 90.00 90.00 90.00
Closest atoms and distances in Å follow each position.
Positions (direct):
Na (0.1585, 0.6585, 0.5000)  6 I 3.17-3.55
I (0.3437, 0.8437, 0.0000)  6 Na 3.17-3.55, 2 Te 3.43
I (0.6563, 0.1563, 0.0000)  6 Na 3.17-3.55, 2 Te 3.43
I (0.1563, 0.3437, 0.0000)  6 Na 3.17-3.55, 2 Te 3.43
Na (0.6585, 0.8415, 0.5000)  6 I 3.17-3.55
I (0.8437, 0.6563, 0.0000)  6 Na 3.17-3.55, 2 Te 3.43
Te (0.5000, 0.5000, 0.0000)  4 I 3.43
Na (0.3415, 0.1585, 0.5000)  6 I 3.17-3.55
Na (0.8415, 0.3415, 0.5000)  6 I 3.17-3.55
Te (0.0000, 0.0000, 0.0000)  4 I 3.43

Excess energy over the best structure of this formula in the dataset in eV per atom: 0.129
Formation energy (no corrections) in eV per atom: -0.599
Calculated volume in Å³/f.u.: 173.4
Space group: P4/mbm (127)
Total moment in μB per cell: 0.000



Compound: Na2TeI
Source: Alexandria
Functional: GGA-PBE
Structure: relaxed

Lattice parameters (Å, degrees): 4.1897 8.2363 10.0061 65.70 90.00 90.00
Closest atoms and distances in Å follow each position.
Positions (direct):
Te (0.2500, 0.0669, 0.8662)  4 Na 3.17, 2 Te 3.22
Te (0.7500, 0.9331, 0.1338)  4 Na 3.17, 2 Te 3.22
I (0.7500, 0.2988, 0.4023)  6 Na 3.21-3.39
Na (0.2500, 0.6230, 0.2904)  2 Te 3.17, 3 I 3.21-3.39
Na (0.7500, 0.9134, 0.7096)  2 Te 3.17, 3 I 3.21-3.39
Na (0.2500, 0.0866, 0.2904)  2 Te 3.17, 3 I 3.21-3.39
Na (0.7500, 0.3770, 0.7096)  2 Te 3.17, 3 I 3.21-3.39
I (0.2500, 0.7012, 0.5977)  6 Na 3.21-3.39

Excess energy over the best structure of this formula in the dataset in eV per atom: 0.000
Formation energy (no corrections) in eV per atom: -0.810
Calculated volume in Å³/f.u.: 157.3
Space group: Cmcm (63)
Total moment in μB per cell: 0.000



Compound: NaTeI2
Source: Alexandria
Functional: GGA-PBE
Structure: relaxed

Lattice parameters (Å, degrees): 5.8858 5.8858 5.8858 60.00 60.00 60.00
Closest atoms and distances in Å follow each position.
Positions (direct):
Na (0.0000, 0.0000, 0.0000)  8 I 3.60
I (0.7500, 0.7500, 0.7500)  4 Na 3.60, 4 Te 3.60
Te (0.5000, 0.5000, 0.5000)  8 I 3.60
I (0.2500, 0.2500, 0.2500)  4 Na 3.60, 4 Te 3.60

Excess energy over the best structure of this formula in the dataset in eV per atom: 0.303
Formation energy (no corrections) in eV per atom: -0.128
Calculated volume in Å³/f.u.: 144.2
Space group: Fm-3m (225)
Total moment in μB per cell: 2.558



Compound: Na12Te3I5
Source: Alexandria
Functional: GGA-PBE
Structure: relaxed

Lattice parameters (Å, degrees): 15.9328 15.9328 15.9328 109.47 109.47 109.47
Closest atoms and distances in Å follow each position.
Positions (direct):
Na (0.0849, 0.1670, 0.2312)  2 I 3.05-3.20, 1 Na 3.27, 2 Te 3.29-3.32
Na (0.4179, 0.0642, 0.3330)  2 I 3.05-3.20, 1 Na 3.27, 2 Te 3.29-3.32
I (0.0000, 0.0000, 0.5000)  6 Na 3.20
Te (0.7500, 0.3750, 0.1250)  8 Na 3.29-3.32
Te (0.8750, 0.1250, 0.2500)  8 Na 3.29-3.32
Na (0.8537, 0.5849, 0.9179)  2 I 3.05-3.20, 1 Na 3.27, 2 Te 3.29-3.32
Na (0.1670, 0.0821, 0.9358)  2 I 3.05-3.20, 1 Na 3.27, 2 Te 3.29-3.32
I (0.0000, 0.0000, 0.0000)  6 Na 3.20
Na (0.4151, 0.2688, 0.3330)  2 I 3.05-3.20, 1 Na 3.27, 2 Te 3.29-3.32
I (0.2500, 0.3750, 0.6250)  4 Na 3.05
Na (0.2312, 0.6670, 0.0849)  2 I 3.05-3.20, 1 Na 3.27, 2 Te 3.29-3.32
Na (0.2688, 0.4151, 0.8330)  2 I 3.05-3.20, 1 Na 3.27, 2 Te 3.29-3.32
I (0.5000, 0.5000, 0.5000)  6 Na 3.20
Na (0.3330, 0.7688, 0.4151)  2 I 3.05-3.20, 1 Na 3.27, 2 Te 3.29-3.32
I (0.8750, 0.2500, 0.6250)  4 Na 3.05
Na (0.3330, 0.5642, 0.4179)  2 I 3.05-3.20, 1 Na 3.27, 2 Te 3.29-3.32
Na (0.7312, 0.5849, 0.1670)  2 I 3.05-3.20, 1 Na 3.27, 2 Te 3.29-3.32
Na (0.5642, 0.3330, 0.9179)  2 I 3.05-3.20, 1 Na 3.27, 2 Te 3.29-3.32
Na (0.6463, 0.5821, 0.9151)  2 I 3.05-3.20, 1 Na 3.27, 2 Te 3.29-3.32
Na (0.8330, 0.9179, 0.0642)  2 I 3.05-3.20, 1 Na 3.27, 2 Te 3.29-3.32
I (0.3750, 0.1250, 0.7500)  4 Na 3.05
Na (0.4358, 0.7688, 0.8537)  2 I 3.05-3.20, 1 Na 3.27, 2 Te 3.29-3.32
Te (0.2500, 0.6250, 0.8750)  8 Na 3.29-3.32
Na (0.0849, 0.9179, 0.3537)  2 I 3.05-3.20, 1 Na 3.27, 2 Te 3.29-3.32
I (0.1250, 0.7500, 0.3750)  4 Na 3.05
Na (0.7312, 0.1463, 0.0642)  2 I 3.05-3.20, 1 Na 3.27, 2 Te 3.29-3.32
Na (0.0821, 0.1670, 0.4358)  2 I 3.05-3.20, 1 Na 3.27, 2 Te 3.29-3.32
Na (0.2312, 0.5642, 0.6463)  2 I 3.05-3.20, 1 Na 3.27, 2 Te 3.29-3.32
Te (0.6250, 0.2500, 0.3750)  8 Na 3.29-3.32
Na (0.7688, 0.4358, 0.3537)  2 I 3.05-3.20, 1 Na 3.27, 2 Te 3.29-3.32
Na (0.9358, 0.3537, 0.2688)  2 I 3.05-3.20, 1 Na 3.27, 2 Te 3.29-3.32
Te (0.2500, 0.1250, 0.3750)  8 Na 3.29-3.32
Na (0.1463, 0.4151, 0.0821)  2 I 3.05-3.20, 1 Na 3.27, 2 Te 3.29-3.32
Na (0.5821, 0.6463, 0.4151)  2 I 3.05-3.20, 1 Na 3.27, 2 Te 3.29-3.32
Te (0.7500, 0.8750, 0.6250)  8 Na 3.29-3.32
Te (0.1250, 0.2500, 0.8750)  8 Na 3.29-3.32
I (0.1250, 0.3750, 0.2500)  4 Na 3.05
I (0.7500, 0.6250, 0.3750)  4 Na 3.05
Na (0.9151, 0.0821, 0.6463)  2 I 3.05-3.20, 1 Na 3.27, 2 Te 3.29-3.32
Na (0.0821, 0.9151, 0.1463)  2 I 3.05-3.20, 1 Na 3.27, 2 Te 3.29-3.32
Na (0.1670, 0.0849, 0.7312)  2 I 3.05-3.20, 1 Na 3.27, 2 Te 3.29-3.32
Na (0.8537, 0.2688, 0.4358)  2 I 3.05-3.20, 1 Na 3.27, 2 Te 3.29-3.32
Na (0.2688, 0.8537, 0.9358)  2 I 3.05-3.20, 1 Na 3.27, 2 Te 3.29-3.32
I (0.6250, 0.8750, 0.2500)  4 Na 3.05
I (0.2500, 0.8750, 0.1250)  4 Na 3.05
I (0.5000, 0.5000, 0.0000)  6 Na 3.20
Na (0.9358, 0.5821, 0.1670)  2 I 3.05-3.20, 1 Na 3.27, 2 Te 3.29-3.32
Na (0.5849, 0.8537, 0.4179)  2 I 3.05-3.20, 1 Na 3.27, 2 Te 3.29-3.32
I (0.5000, 0.0000, 0.0000)  6 Na 3.20
Na (0.9179, 0.8330, 0.5642)  2 I 3.05-3.20, 1 Na 3.27, 2 Te 3.29-3.32
Na (0.4358, 0.6670, 0.0821)  2 I 3.05-3.20, 1 Na 3.27, 2 Te 3.29-3.32
Na (0.0642, 0.4179, 0.8330)  2 I 3.05-3.20, 1 Na 3.27, 2 Te 3.29-3.32
Na (0.8330, 0.9151, 0.2688)  2 I 3.05-3.20, 1 Na 3.27, 2 Te 3.29-3.32
Na (0.3537, 0.4179, 0.0849)  2 I 3.05-3.20, 1 Na 3.27, 2 Te 3.29-3.32
I (0.6250, 0.7500, 0.8750)  4 Na 3.05
I (0.3750, 0.2500, 0.1250)  4 Na 3.05
I (0.8750, 0.6250, 0.7500)  4 Na 3.05
Na (0.6463, 0.0642, 0.2312)  2 I 3.05-3.20, 1 Na 3.27, 2 Te 3.29-3.32
Na (0.0642, 0.6463, 0.7312)  2 I 3.05-3.20, 1 Na 3.27, 2 Te 3.29-3.32
Na (0.1463, 0.7312, 0.5642)  2 I 3.05-3.20, 1 Na 3.27, 2 Te 3.29-3.32
Na (0.7688, 0.3330, 0.9151)  2 I 3.05-3.20, 1 Na 3.27, 2 Te 3.29-3.32
I (0.7500, 0.1250, 0.8750)  4 Na 3.05
Na (0.6670, 0.4358, 0.5821)  2 I 3.05-3.20, 1 Na 3.27, 2 Te 3.29-3.32
Te (0.6250, 0.3750, 0.7500)  8 Na 3.29-3.32
Te (0.8750, 0.7500, 0.1250)  8 Na 3.29-3.32
Na (0.9179, 0.0849, 0.8537)  2 I 3.05-3.20, 1 Na 3.27, 2 Te 3.29-3.32
Na (0.3537, 0.9358, 0.7688)  2 I 3.05-3.20, 1 Na 3.27, 2 Te 3.29-3.32
I (0.0000, 0.5000, 0.0000)  6 Na 3.20
I (0.5000, 0.0000, 0.5000)  6 Na 3.20
Na (0.5642, 0.2312, 0.1463)  2 I 3.05-3.20, 1 Na 3.27, 2 Te 3.29-3.32
Te (0.3750, 0.6250, 0.2500)  8 Na 3.29-3.32
Na (0.5821, 0.9358, 0.6670)  2 I 3.05-3.20, 1 Na 3.27, 2 Te 3.29-3.32
Na (0.5849, 0.7312, 0.6670)  2 I 3.05-3.20, 1 Na 3.27, 2 Te 3.29-3.32
Na (0.4151, 0.1463, 0.5821)  2 I 3.05-3.20, 1 Na 3.27, 2 Te 3.29-3.32
Na (0.9151, 0.8330, 0.7688)  2 I 3.05-3.20, 1 Na 3.27, 2 Te 3.29-3.32
I (0.0000, 0.5000, 0.5000)  6 Na 3.20
Te (0.3750, 0.7500, 0.6250)  8 Na 3.29-3.32
Te (0.1250, 0.8750, 0.7500)  8 Na 3.29-3.32
Na (0.6670, 0.2312, 0.5849)  2 I 3.05-3.20, 1 Na 3.27, 2 Te 3.29-3.32
Na (0.4179, 0.3537, 0.5849)  2 I 3.05-3.20, 1 Na 3.27, 2 Te 3.29-3.32

Formation energy (no corrections) in eV per atom: -0.947
Calculated volume in Å³/f.u.: 778.4
Space group: Ia-3d (230)
Total moment in μB per cell: 0.000



Compound: NaTe2I
Source: Alexandria
Functional: GGA-PBE
Structure: relaxed

Lattice parameters (Å, degrees): 6.5098 6.5098 9.7996 70.60 70.60 90.00
Closest atoms and distances in Å follow each position.
Positions (direct):
Te (0.8750, 0.9134, 0.7500)  2 I 3.04, 2 Na 3.29
Te (0.3750, 0.3366, 0.7500)  2 I 3.04, 2 Na 3.29
Te (0.6634, 0.1250, 0.2500)  2 I 3.04, 2 Na 3.29
Te (0.0866, 0.6250, 0.2500)  2 I 3.04, 2 Na 3.29
Na (0.5000, 0.5000, 0.0000)  4 Te 3.29
I (0.0000, 0.0000, 0.0000)  4 Te 3.04
Na (0.2500, 0.7500, 0.5000)  4 Te 3.29
I (0.7500, 0.2500, 0.5000)  4 Te 3.04

Excess energy over the best structure of this formula in the dataset in eV per atom: 0.138
Formation energy (no corrections) in eV per atom: 0.081
Calculated volume in Å³/f.u.: 183.3
Space group: I-42d (122)
Total moment in μB per cell: 0.000



Compound: Na3TeI
Source: Alexandria
Functional: GGA-PBE
Structure: relaxed

Lattice parameters (Å, degrees): 5.8633 5.8633 5.8633 90.00 90.00 90.00
Closest atoms and distances in Å follow each position.
Positions (direct):
Na (0.0000, 0.5000, 0.0000)  2 Te 2.93
Na (0.5000, 0.0000, 0.0000)  2 Te 2.93
I (0.5000, 0.5000, 0.5000)  12 Na 4.15
Te (0.0000, 0.0000, 0.0000)  6 Na 2.93
Na (0.0000, 0.0000, 0.5000)  2 Te 2.93

Excess energy over the best structure of this formula in the dataset in eV per atom: 0.099
Formation energy (no corrections) in eV per atom: -0.919
Calculated volume in Å³/f.u.: 201.6
Space group: Pm-3m (221)
Total moment in μB per cell: 0.000



Compound: Na7TeI5
Source: Alexandria
Functional: GGA-PBE
Structure: relaxed

Lattice parameters (Å, degrees): 4.5657 7.9744 26.0502 90.00 90.00 106.63
Closest atoms and distances in Å follow each position.
Positions (direct):
Na (0.2016, 0.4032, 0.1866)  3 I 3.11-3.39, 2 Te 3.21, 1 Na 3.42
Na (0.6279, 0.2557, 0.4617)  6 I 3.21-3.31
Na (0.7990, 0.5980, 0.6866)  3 I 3.11-3.39, 2 Te 3.21, 1 Na 3.42
I (0.7306, 0.4612, 0.9273)  6 Na 3.10-3.28
Na (0.3637, 0.7273, 0.5386)  6 I 3.20-3.30
Na (0.9136, 0.8271, 0.1141)  5 I 3.24-3.26
I (0.4620, 0.9241, 0.8481)  6 Na 3.12-3.35
I (0.7222, 0.4443, 0.5760)  6 Na 3.11-3.31
Na (0.0871, 0.1741, 0.6141)  5 I 3.23-3.26
Na (0.1907, 0.3813, 0.3176)  3 I 3.10-3.35, 2 Te 3.21, 1 Na 3.42
Na (0.8103, 0.6206, 0.8177)  3 I 3.10-3.35, 2 Te 3.21, 1 Na 3.42
Na (0.6365, 0.2731, 0.0386)  6 I 3.20-3.30
I (0.2698, 0.5396, 0.4272)  6 Na 3.10-3.28
I (0.5387, 0.0774, 0.3480)  6 Na 3.12-3.35
I (0.5475, 0.0950, 0.1539)  6 Na 3.12-3.39
I (0.0044, 0.0087, 0.0010)  5 Na 3.20-3.26
Te (0.2087, 0.4173, 0.7550)  7 Na 3.05-3.37
I (0.9959, 0.9918, 0.5010)  5 Na 3.20-3.26
Na (0.5770, 0.1539, 0.7492)  2 Te 3.05, 2 I 3.12
Na (0.3724, 0.7449, 0.9618)  6 I 3.21-3.31
I (0.2783, 0.5566, 0.0761)  6 Na 3.11-3.31
Te (0.7921, 0.5842, 0.2550)  7 Na 3.05-3.37
Na (0.8902, 0.7804, 0.3708)  4 I 3.27-3.28, 1 Te 3.37
Na (0.4237, 0.8475, 0.2492)  2 Te 3.05, 2 I 3.12
Na (0.1106, 0.2213, 0.8707)  4 I 3.27-3.28, 1 Te 3.37
I (0.4531, 0.9062, 0.6540)  6 Na 3.12-3.39

Formation energy (no corrections) in eV per atom: -1.153
Calculated volume in Å³/f.u.: 454.4
Space group: Cmc2_1 (36)
Total moment in μB per cell: 0.000



Compound: Na2Te6I
Source: Alexandria
Functional: GGA-PBE
Structure: relaxed

Lattice parameters (Å, degrees): 4.2048 9.6793 9.6793 68.94 77.39 77.39
Closest atoms and distances in Å follow each position.
Positions (direct):
Te (0.5000, 0.6281, 0.3719)  3 Te 2.81-2.99
Na (0.6469, 0.8536, 0.8536)  2 I 3.08, 2 Te 3.25
Te (0.3149, 0.4766, 0.8940)  3 Te 2.99-3.03, 1 Na 3.25
I (0.0000, 0.0000, 0.0000)  4 Na 3.08
Te (0.5000, 0.3719, 0.6281)  3 Te 2.81-2.99
Te (0.3149, 0.8940, 0.4766)  3 Te 2.99-3.03, 1 Na 3.25
Te (0.6851, 0.5234, 0.1060)  3 Te 2.99-3.03, 1 Na 3.25
Na (0.3531, 0.1464, 0.1464)  2 I 3.08, 2 Te 3.25
Te (0.6851, 0.1060, 0.5234)  3 Te 2.99-3.03, 1 Na 3.25

Formation energy (no corrections) in eV per atom: -0.297
Calculated volume in Å³/f.u.: 354.5
Space group: C2/m (12)
Total moment in μB per cell: 0.000



Compound: NaTeI4
Source: Alexandria
Functional: GGA-PBE
Structure: relaxed

Lattice parameters (Å, degrees): 6.2555 6.2555 8.0443 112.88 112.88 90.00
Closest atoms and distances in Å follow each position.
Positions (direct):
Te (0.7500, 0.2500, 0.5000)  6 I 2.95-3.13
I (0.5305, 0.0305, 0.0609)  1 Te 2.95, 2 Na 3.15
I (0.7541, 0.7541, 0.5081)  2 Te 3.13, 1 Na 3.30
I (0.9695, 0.4695, 0.9391)  1 Te 2.95, 2 Na 3.15
I (0.2459, 0.2459, 0.4919)  2 Te 3.13, 1 Na 3.30
Na (0.0000, 0.0000, 0.0000)  6 I 3.15-3.30

Excess energy over the best structure of this formula in the dataset in eV per atom: 0.000
Formation energy (no corrections) in eV per atom: -0.455
Calculated volume in Å³/f.u.: 262.9
Space group: I-4m2 (119)
Total moment in μB per cell: 0.000



Compound: NaTe2I
Source: Alexandria
Functional: GGA-PBE
Structure: relaxed

Lattice parameters (Å, degrees): 10.4473 10.4473 10.4473 21.94 21.94 21.94
Closest atoms and distances in Å follow each position.
Positions (direct):
Te (0.0947, 0.0947, 0.0947)  1 I 2.89, 3 Na 3.18
I (0.0000, 0.0000, 0.0000)  2 Te 2.89
Na (0.5000, 0.5000, 0.5000)  6 Te 3.18
Te (0.9053, 0.9053, 0.9053)  1 I 2.89, 3 Na 3.18

Excess energy over the best structure of this formula in the dataset in eV per atom: 0.000
Formation energy (no corrections) in eV per atom: -0.057
Calculated volume in Å³/f.u.: 139.5
Space group: R-3m (166)
Total moment in μB per cell: 0.000



Compound: NaTeI
Source: Alexandria
Functional: GGA-PBE
Structure: relaxed

Lattice parameters (Å, degrees): 5.6646 7.9168 8.5869 131.92 109.25 90.01
Closest atoms and distances in Å follow each position.
Positions (direct):
I (0.8774, 0.1742, 0.6050)  1 Te 3.00
I (0.1633, 0.3717, 0.1758)  1 Te 3.00
Te (0.4255, 0.7491, 0.7003)  1 Te 2.83, 1 I 3.00, 1 Na 3.16
Te (0.6151, 0.7968, 0.0804)  1 Te 2.83, 1 I 3.00, 1 Na 3.16
Na (0.0203, 0.7729, 0.8904)  4 Te 3.16-3.17, 2 I 3.51
Na (0.5203, 0.2729, 0.8904)  2 Te 3.24, 4 I 3.38

Excess energy over the best structure of this formula in the dataset in eV per atom: 0.135
Formation energy (no corrections) in eV per atom: -0.553
Calculated volume in Å³/f.u.: 128.4
Space group: C2/m (12)
Total moment in μB per cell: 0.000